[1]
## Sc3ZnP (GGA-PBE)

Data for a geometry-optimized Sc3ZnP structure.

Cell: 4.872 4.872 4.872 Å, 90.00 90.00 90.00°
Positions (direct):
Sc  0.500  0.000  0.500
Sc  0.000  0.500  0.500
Sc  0.500  0.500  0.000
P  0.500  0.500  0.500
Zn  0.000  0.000  0.000

## Properties
**Uncorrected energy**: -5.602 eV per atom
**Magnetization**: 0.01 μB per formula unit

---

[2]
## ZrSc3P4 (GGA-PBE)

Data for a geometry-optimized ZrSc3P4 structure.

Cell: 6.488 6.488 3.746 Å, 90.00 90.00 109.42°
Positions (direct):
P  0.251  0.251  0.000
P  0.750  0.250  0.500
P  0.749  0.749  0.000
P  0.250  0.750  0.500
Sc  0.500  0.000  0.000
Sc  0.000  0.500  0.000
Sc  0.500  0.500  0.500
Zr  0.000  0.000  0.500

## Properties
**Uncorrected energy**: -7.627 eV per atom
**Magnetization**: 0.00 μB per formula unit

---

[3]
## Sm4PSe3 (GGA-PBE)

Data for a geometry-optimized Sm4PSe3 structure.

Cell: 7.226 7.226 4.132 Å, 90.00 90.00 109.16°
Positions (direct):
Se  0.000  0.500  0.000
Se  0.500  0.500  0.500
Se  0.500  0.000  0.000
Sm  0.761  0.239  0.500
Sm  0.239  0.761  0.500
Sm  0.768  0.768  0.000
Sm  0.232  0.232  0.000
P  0.000  0.000  0.500

## Properties
**Uncorrected energy**: -6.162 eV per atom
**Magnetization**: 0.01 μB per formula unit

---

[4]
## Sm2PSe (GGA-PBE)

Data for a geometry-optimized Sm2PSe structure.

Cell: 4.119 5.837 8.365 Å, 90.00 90.00 90.00°
Positions (direct):
Sm  0.500  0.000  0.112
Sm  0.000  0.500  0.354
Sm  0.000  0.500  0.888
Sm  0.500  0.000  0.646
P  0.500  0.500  0.125
P  0.000  0.000  0.875
Se  0.000  0.000  0.379
Se  0.500  0.500  0.621

## Properties
**Uncorrected energy**: -6.364 eV per atom
**Magnetization**: 0.00 μB per formula unit

---

[5]
## Sm3P2Se (GGA-PBE)

Data for a geometry-optimized Sm3P2Se structure.

Cell: 7.162 7.162 7.162 Å, 146.57 131.93 59.82°
Positions (direct):
Sm  0.000  0.500  0.500
Sm  0.324  0.824  0.500
Sm  0.676  0.176  0.500
Se  0.500  0.500  0.000
P  0.165  0.165  0.000
P  0.835  0.835  0.000

## Properties
**Relative energy among the computed polymorphs**: 4 meV per atom
**Uncorrected energy**: -6.476 eV per atom
**Magnetization**: 0.01 μB per formula unit

---

[6]
## Sm3P2Se (GGA-PBE)

Data for a geometry-optimized Sm3P2Se structure.

Cell: 4.114 4.114 10.218 Å, 90.00 90.00 120.00°
Positions (direct):
P  0.333  0.667  0.665
P  0.667  0.333  0.335
Sm  0.333  0.667  0.184
Sm  0.667  0.333  0.816
Sm  0.000  0.000  0.500
Se  0.000  0.000  0.000

## Properties
**Relative energy among the computed polymorphs**: 0 meV per atom
**Uncorrected energy**: -6.480 eV per atom
**Magnetization**: 0.00 μB per formula unit

---

[7]
## SmTlP2Se6 (GGA-PBE)

Data for a geometry-optimized SmTlP2Se6 structure.

Cell: 6.902 7.732 10.403 Å, 90.00 91.16 90.00°
Positions (direct):
Se  0.402  0.566  0.269
Se  0.633  0.371  0.019
Se  0.933  0.696  0.174
Se  0.411  0.589  0.745
Se  0.067  0.196  0.826
Se  0.923  0.691  0.829
Se  0.077  0.191  0.171
Se  0.156  0.869  0.488
Se  0.589  0.089  0.255
Se  0.598  0.066  0.731
Se  0.844  0.369  0.512
Se  0.367  0.871  0.981
P  0.313  0.994  0.174
P  0.192  0.776  0.295
P  0.808  0.276  0.705
P  0.687  0.494  0.826
Tl  0.312  0.283  0.507
Tl  0.688  0.783  0.493
Sm  0.785  0.002  0.997
Sm  0.215  0.502  0.003

## Properties
**Uncorrected energy**: -4.529 eV per atom
**Magnetization**: 0.01 μB per formula unit

---

[8]
## Tb2PSe (GGA-PBE)

Data for a geometry-optimized Tb2PSe structure.

Cell: 4.044 5.724 8.206 Å, 90.00 90.00 90.00°
Positions (direct):
Tb  0.000  0.500  0.889
Tb  0.500  0.000  0.647
Tb  0.500  0.000  0.111
Tb  0.000  0.500  0.353
P  0.500  0.500  0.125
P  0.000  0.000  0.875
Se  0.500  0.500  0.620
Se  0.000  0.000  0.380

## Properties
**Uncorrected energy**: -6.324 eV per atom
**Magnetization**: 0.01 μB per formula unit